a.
First-principles (PBE) data for a geometry-optimized Zr2PaNi structure, as listed in the Alexandria database.

Geometry as POSCAR:
```
Zr2PaNi
1.0
-2.9101 0.8715 0.5409
-2.2996 -2.0370 -0.2891
-0.6887 -2.9594 9.8641
Ni Pa Zr
1 1 2
Direct
0.5000 0.5000 0.5000 Ni
0.0000 0.0000 0.0000 Pa
0.0990 0.0990 0.7029 Zr
0.9010 0.9010 0.2971 Zr
```

Properties
- space-group type = R-3m
- crystal system = trigonal
- V (Å³/cell) = 83.83

b.
First-principles (PBE) data for a geometry-optimized Zr2PaNi structure, as listed in the Alexandria database.

Geometry as POSCAR:
```
Zr2PaNi
1.0
3.2015 0.0000 0.0000
0.0000 3.2015 0.0000
0.0000 0.0000 8.0271
Ni Pa Zr
1 1 2
Direct
0.5000 0.5000 0.0000 Ni
0.5000 0.5000 0.5000 Pa
0.0000 0.0000 0.7971 Zr
0.0000 0.0000 0.2029 Zr
```

Properties
- space-group type = P4/mmm
- crystal system = tetragonal
- V (Å³/cell) = 82.28

Preferred: b; penalty for the next structure: 0.357 eV/atom.

a.
First-principles (PBE) data for a geometry-optimized Ni3Pb5 structure, as listed in the Alexandria database.

Geometry as POSCAR:
```
Ni3Pb5
1.0
8.0493 0.0000 0.0000
-4.0247 6.9709 0.0000
0.0000 0.0000 6.3750
Pb Ni
10 6
Direct
0.3333 0.6667 0.0000 Pb
0.6667 0.3333 0.5000 Pb
0.6667 0.3333 0.0000 Pb
0.3333 0.6667 0.5000 Pb
0.2534 0.0000 0.2500 Pb
0.7466 0.0000 0.7500 Pb
0.0000 0.2534 0.2500 Pb
0.7466 0.7466 0.2500 Pb
0.2534 0.2534 0.7500 Pb
0.0000 0.7466 0.7500 Pb
0.6069 0.0000 0.2500 Ni
0.3931 0.0000 0.7500 Ni
0.0000 0.6069 0.2500 Ni
0.3931 0.3931 0.2500 Ni
0.6069 0.6069 0.7500 Ni
0.0000 0.3931 0.7500 Ni
```

Properties
- space-group type = P6_3/mcm
- crystal system = hexagonal
- V (Å³/cell) = 357.71

b.
First-principles (PBE) data for a geometry-optimized Ni3Pb5 structure, as listed in the Alexandria database.

Geometry as POSCAR:
```
Ni3Pb5
1.0
-7.2333 0.4454 0.6768
1.8373 -5.7179 4.1117
0.4107 2.2322 2.9207
Ni Pb
3 5
Direct
0.5000 0.5000 0.0000 Ni
0.6684 0.3316 0.5000 Ni
0.3316 0.6684 0.5000 Ni
0.0000 0.0000 0.0000 Pb
0.0000 0.5000 0.0000 Pb
0.5000 0.0000 0.0000 Pb
0.2891 0.2891 0.5000 Pb
0.7109 0.7109 0.5000 Pb
```

Properties
- space-group type = Cmmm
- crystal system = orthorhombic
- V (Å³/cell) = 189.92

Preferred: a; penalty for the next structure: 0.092 eV/atom.

a.
First-principles (PBE) data for a geometry-optimized Ni4Pb3 structure, as listed in the Alexandria database.

Geometry as POSCAR:
```
Ni4Pb3
1.0
-0.8110 6.3964 10.1195
-1.3661 9.7233 6.8970
-1.2173 -8.4094 -8.4721
Ni Pb
4 3
Direct
0.8858 0.8858 0.0000 Ni
0.1142 0.1142 0.0000 Ni
0.5646 0.5646 0.0000 Ni
0.4354 0.4354 0.0000 Ni
0.0000 0.0000 0.0000 Pb
0.6824 0.6824 0.0000 Pb
0.3176 0.3176 0.0000 Pb
```

Properties
- space-group type = I4/mmm
- crystal system = tetragonal
- V (Å³/cell) = 128.07

b.
First-principles (PBE) data for a geometry-optimized Ni4Pb3 structure, as listed in the Alexandria database.

Geometry as POSCAR:
```
Ni4Pb3
1.0
3.1246 -5.4119 0.0000
3.1246 5.4119 0.0000
0.0000 0.0000 4.2898
Ni Pb
4 3
Direct
0.0000 0.0000 0.2510 Ni
0.0000 0.0000 0.7490 Ni
0.6667 0.3333 0.5000 Ni
0.3333 0.6667 0.5000 Ni
0.0000 0.5000 0.0000 Pb
0.5000 0.5000 0.0000 Pb
0.5000 0.0000 0.0000 Pb
```

Properties
- space-group type = P6/mmm
- crystal system = hexagonal
- V (Å³/cell) = 145.08

Preferred: a; penalty for the next structure: 0.544 eV/atom.